(1)
Ho5PdPb3 | PBE | optimized geometry

The structure belongs to space group P6_3/mcm (No. 193); the cell edges are 9.1859, 9.1859 and 6.7075 Å and the angles 90.00°, 90.00° and 120.00°. The distinct sites, in fractional coordinates, are Ho at (0.0000, 0.2505, 0.2500), Ho at (0.3333, 0.6667, 0.0000), Pd at (0.0000, 0.0000, 0.0000) and Pb at (0.0000, 0.3955, 0.7500).

The calculation puts the total energy at -4.97 eV/atom.

=====

(2)
HoPd4Pb3 | PBE | optimized geometry

The structure belongs to space group Pm (No. 6); the cell edges are 5.757, 4.491 and 6.567 Å and the angles 90.00°, 90.40° and 90.00°. The distinct sites, in fractional coordinates, are Ho at (0.000, 0.000, 0.000), Pd at (0.297, 0.000, 0.640), Pd at (0.474, 0.000, 0.150), Pd at (0.788, 0.500, 0.212), Pd at (0.982, 0.500, 0.721), Pb at (0.257, 0.500, 0.347), Pb at (0.502, 0.500, 0.853) and Pb at (0.780, 0.000, 0.502).

The calculation puts the total energy at -5.01 eV/atom.

=====

(3)
Tb2HoPd2PtPb3 | PBE | optimized geometry

The structure belongs to space group Amm2 (No. 38); the cell edges are 3.947, 13.466 and 7.791 Å and the angles 90.00°, 90.00° and 90.00°. The distinct sites, in fractional coordinates, are Tb at (0.000, 0.199, 0.000), Ho at (0.000, 0.000, 0.404), Pd at (0.500, 0.166, 0.302), Pt at (0.000, 0.000, 0.800), Pb at (0.500, 0.000, 0.068) and Pb at (0.500, 0.134, 0.667).

The calculation puts the total energy at -5.34 eV/atom.

=====

(4)
HoTm2PdPt2Pb3 | PBE | optimized geometry

The structure belongs to space group Amm2 (No. 38); the cell edges are 3.894, 13.438 and 7.744 Å and the angles 90.00°, 90.00° and 90.00°. The distinct sites, in fractional coordinates, are Ho at (0.000, 0.000, 0.000), Tm at (0.000, 0.203, 0.609), Pd at (0.000, 0.000, 0.407), Pt at (0.500, 0.168, 0.905), Pb at (0.500, 0.000, 0.670) and Pb at (0.500, 0.131, 0.274).

The calculation puts the total energy at -5.46 eV/atom.

=====

(5)
YHo2Pd2PtPb3 | PBE | optimized geometry

The structure belongs to space group Amm2 (No. 38); the cell edges are 3.922, 13.509 and 7.779 Å and the angles 90.00°, 90.00° and 90.00°. The distinct sites, in fractional coordinates, are Y at (0.000, 0.000, 0.000), Ho at (0.000, 0.199, 0.596), Pd at (0.500, 0.168, 0.897), Pt at (0.000, 0.000, 0.399), Pb at (0.500, 0.000, 0.667) and Pb at (0.500, 0.134, 0.263).

The calculation puts the total energy at -5.54 eV/atom.

=====

(6)
HoPdPbS3 | PBE | optimized geometry

The structure belongs to space group Cmcm (No. 63); the cell edges are 3.828, 13.362 and 10.317 Å and the angles 90.00°, 90.00° and 90.00°. The distinct sites, in fractional coordinates, are Ho at (0.000, 0.000, 0.000), Pd at (0.000, 0.470, 0.250), Pb at (0.000, 0.231, 0.750), S at (0.000, 0.079, 0.250) and S at (0.000, 0.359, 0.056).

The calculation puts the total energy at -5.33 eV/atom.

=====

(7)
HoPdPbSe3 | PBE | optimized geometry

The structure belongs to space group Cmcm (No. 63); the cell edges are 3.917, 14.238 and 10.579 Å and the angles 90.00°, 90.00° and 90.00°. The distinct sites, in fractional coordinates, are Ho at (0.000, 0.000, 0.000), Pd at (0.000, 0.468, 0.250), Pb at (0.000, 0.217, 0.750), Se at (0.000, 0.082, 0.250) and Se at (0.000, 0.357, 0.051).

The calculation puts the total energy at -4.96 eV/atom.

=====

(8)
Tb2HoPd3Pb3 | PBE | optimized geometry

The structure belongs to space group Amm2 (No. 38); the cell edges are 3.870, 13.581 and 7.857 Å and the angles 90.00°, 90.00° and 90.00°. The distinct sites, in fractional coordinates, are Tb at (0.000, 0.201, 0.000), Ho at (0.000, 0.000, 0.399), Pd at (0.000, 0.000, 0.799), Pd at (0.500, 0.166, 0.300), Pb at (0.500, 0.000, 0.066) and Pb at (0.500, 0.133, 0.666).

The calculation puts the total energy at -5.23 eV/atom.

=====

(9)
HoTe3PdPb | PBE | optimized geometry

The structure belongs to space group P2_1/m (No. 11); the cell edges are 8.436, 4.192 and 10.722 Å and the angles 90.00°, 107.85° and 90.00°. The distinct sites, in fractional coordinates, are Ho at (0.200, 0.250, 0.174), Te at (0.079, 0.250, 0.868), Te at (0.242, 0.250, 0.464), Te at (0.454, 0.750, 0.158), Pd at (0.410, 0.750, 0.404) and Pb at (0.248, 0.750, 0.709).

The offset from the most stable computed form comes out at 0.025 eV per atom.

=====

(10)
HoTe3PdPb | PBE | optimized geometry

The structure belongs to space group Cmcm (No. 63); the cell edges are 4.114, 15.036 and 11.252 Å and the angles 90.00°, 90.00° and 90.00°. The distinct sites, in fractional coordinates, are Ho at (0.000, 0.000, 0.000), Te at (0.000, 0.081, 0.250), Te at (0.000, 0.354, 0.048), Pd at (0.000, 0.462, 0.250) and Pb at (0.000, 0.211, 0.750).

The offset from the most stable computed form comes out at 0.000 eV per atom.

=====

(11)
YHoPd2Pb | PBE | optimized geometry

The structure belongs to space group Amm2 (No. 38); the cell edges are 3.606, 4.264 and 14.915 Å and the angles 90.00°, 90.00° and 90.00°. The distinct sites, in fractional coordinates, are Y at (0.000, 0.000, 0.000), Ho at (0.000, 0.000, 0.729), Pd at (0.500, 0.000, 0.175), Pd at (0.500, 0.000, 0.559) and Pb at (0.500, 0.000, 0.366).

The calculation puts the total energy at -5.83 eV/atom.

=====

(12)
PrHoPb2 | PBE | optimized geometry

The structure belongs to space group Amm2 (No. 38); the cell edges are 4.491, 4.609 and 11.846 Å and the angles 90.00°, 90.00° and 90.00°. The distinct sites, in fractional coordinates, are Pr at (0.000, 0.000, 0.000), Ho at (0.500, 0.000, 0.738), Pb at (0.000, 0.000, 0.270) and Pb at (0.500, 0.000, 0.467).

The calculation puts the total energy at -4.70 eV/atom.